Ac4In3N2 | Alexandria via LeMat-Bulk | PBE | relaxed; calculated total energy = -5.27 eV per atom; magnetization = 0.00 μB per formula unit; calculated density = 7.55 g cm⁻³; ΔE_f (raw) = -0.677 eV/atom
1.0
4.064 0.000 0.000
-2.032 6.940 -1.019
0.000 -0.870 10.119
Ac N In
4 2 3
Direct
0.289 0.579 0.848
0.868 0.736 0.548
0.132 0.264 0.452
0.711 0.421 0.152
0.710 0.420 0.380
0.290 0.580 0.620
0.569 0.138 0.788
0.000 0.000 0.000
0.431 0.862 0.212

***

Ac3In2N | Alexandria via LeMat-Bulk | PBE | relaxed; calculated total energy = -4.93 eV per atom; magnetization = 0.00 μB per formula unit; calculated density = 7.73 g cm⁻³; ΔE_f (raw) = -0.576 eV/atom
1.0
-2.326 4.165 5.248
-6.023 -4.718 1.075
5.960 -5.207 1.982
Ac N In
6 2 4
Direct
0.401 0.250 0.000
0.599 0.750 0.000
0.025 0.131 0.241
0.975 0.869 0.759
0.216 0.631 0.241
0.784 0.369 0.759
0.936 0.750 0.000
0.064 0.250 0.000
0.583 0.026 0.365
0.218 0.474 0.635
0.782 0.526 0.365
0.417 0.974 0.635

***

The highest ΔE_f (raw) belongs to which entry?
Ac3In2N

***

Look up the ΔE_f (raw) of the first one.
-0.677 eV/atom

***

Which value of calculated density does entry 1 give?
7.55 g cm⁻³

***

Which value of magnetization does entry 1 give?
0.00 μB per formula unit